No. 1
Computed, not measured: a relaxed TmNp2UAs4 crystal at the PBE level of DFT.

Unit cell a=7.075 b=4.079 c=7.076 alpha=90.00 beta=109.48 gamma=90.00
Element x y z (fractional)
Tm 0.000 0.000 0.000
Np 0.000 0.500 0.500
Np 0.500 0.000 0.500
U 0.500 0.500 0.000
As 0.250 0.000 0.753
As 0.250 0.500 0.247
As 0.750 0.000 0.247
As 0.750 0.500 0.753

formation energy from the elements	-0.871	eV per atom
D(E_F)	26.9	states/eV per cell

No. 2
Computed, not measured: a relaxed Ce2SmGa2 crystal at the PBE level of DFT.

Unit cell a=6.156 b=4.326 c=9.983 alpha=90.00 beta=105.21 gamma=90.00
Element x y z (fractional)
Ce 0.058 0.250 0.331
Ce 0.129 0.250 0.061
Ce 0.871 0.750 0.939
Ce 0.942 0.750 0.669
Sm 0.449 0.250 0.737
Sm 0.551 0.750 0.263
Ga 0.360 0.750 0.515
Ga 0.368 0.750 0.937
Ga 0.632 0.250 0.063
Ga 0.640 0.250 0.485

formation energy from the elements	-0.346	eV per atom
energy above the most stable polymorph in this dataset	25	meV per atom
D(E_F)	19.1	states/eV per cell